Record 1
# FeTePt

A relaxed FeTePt crystal (PBE, Alexandria).

Cell and atoms, written as POSCAR:
```
FeTePt
1.0
-1.613 1.613 5.102
1.613 -1.613 5.102
1.613 1.613 -5.102
Fe Te Pt
1 1 1
Direct
0.000 0.000 0.000 Fe
0.666 0.666 0.000 Te
0.362 0.362 0.000 Pt
```

The relative energy among the computed polymorphs comes out at 146 meV per atom. Its formation energy without anion corrections is 0.8 eV per formula unit. For the density of states at the Fermi level, the calculation gives 0.91 states/eV/atom.


Record 2
# CaCeGdY

A relaxed CaCeGdY crystal (PBE, Alexandria).

Cell and atoms, written as POSCAR:
```
CaCeGdY
1.0
0.000 4.089 4.089
4.089 0.000 4.089
4.089 4.089 0.000
Ca Ce Gd Y
1 1 1 1
Direct
0.000 0.000 0.000 Ca
0.500 0.500 0.500 Ce
0.250 0.250 0.250 Gd
0.750 0.750 0.750 Y
```

For the density of states at the Fermi level, the calculation gives 2.83 states/eV/atom. Its energy of formation is 0.225 eV per atom.


Record 3
# Ba2Sn2Bi

A relaxed Ba2Sn2Bi crystal (PBE, Alexandria).

Cell and atoms, written as POSCAR:
```
Ba2Sn2Bi
1.0
2.395 -8.075 0.000
2.395 8.075 0.000
0.000 0.000 4.876
Ba Sn Bi
2 2 1
Direct
0.121 0.879 0.000 Ba
0.879 0.121 0.000 Ba
0.302 0.698 0.500 Sn
0.698 0.302 0.500 Sn
0.500 0.500 0.500 Bi
```

The relative energy among the computed polymorphs comes out at 0 meV per atom. For the density of states at the Fermi level, the calculation gives 0.41 states/eV/atom. Its energy of formation is -0.674 eV per atom.


Record 4
# MgCoBr

A relaxed MgCoBr crystal (PBE, Alexandria).

Cell and atoms, written as POSCAR:
```
MgCoBr
1.0
4.013 0.000 0.000
-2.007 3.475 0.000
0.000 0.000 7.862
Mg Co Br
2 2 2
Direct
0.000 0.000 0.000 Mg
0.000 0.000 0.500 Mg
0.333 0.667 0.250 Co
0.667 0.333 0.750 Co
0.333 0.667 0.750 Br
0.667 0.333 0.250 Br
```

The relative energy among the computed polymorphs comes out at 856 meV per atom. Its formation energy without anion corrections is 1.1 eV per formula unit. For the density of states at the Fermi level, the calculation gives 0.61 states/eV/atom.


Record 5
# LiPm4Nd

A relaxed LiPm4Nd crystal (PBE, Alexandria).

Cell and atoms, written as POSCAR:
```
LiPm4Nd
1.0
3.668 0.000 0.000
0.000 3.668 0.000
0.000 0.000 14.405
Li Pm Nd
1 4 1
Direct
0.000 0.000 0.000 Li
0.000 0.000 0.319 Pm
0.000 0.000 0.681 Pm
0.500 0.500 0.143 Pm
0.500 0.500 0.857 Pm
0.500 0.500 0.500 Nd
```

For the density of states at the Fermi level, the calculation gives 1.49 states/eV/atom. Its energy of formation is 0.047 eV per atom.


Record 6
# BeSi2W

A relaxed BeSi2W crystal (PBE, Alexandria).

Cell and atoms, written as POSCAR:
```
BeSi2W
1.0
-3.346 3.346 2.424
3.346 -3.346 2.424
3.346 3.346 -2.424
Be Si W
2 4 2
Direct
0.000 0.000 0.000 Be
0.750 0.250 0.500 Be
0.086 0.625 0.961 Si
0.375 0.336 0.461 Si
0.664 0.125 0.039 Si
0.875 0.914 0.539 Si
0.250 0.750 0.500 W
0.500 0.500 0.000 W
```

Its formation energy without anion corrections is 2.2 eV per formula unit. For the density of states at the Fermi level, the calculation gives 0.28 states/eV/atom.


Record 7
# CaErH2

A relaxed CaErH2 crystal (PBE, Alexandria).

Cell and atoms, written as POSCAR:
```
CaErH2
1.0
1.806 1.043 5.903
-1.806 1.043 5.903
0.000 -2.086 5.903
Ca Er H
1 1 2
Direct
0.000 0.000 0.000 Ca
0.500 0.500 0.500 Er
0.217 0.217 0.217 H
0.783 0.783 0.783 H
```

The relative energy among the computed polymorphs comes out at 0 meV per atom. For the density of states at the Fermi level, the calculation gives 0.79 states/eV/atom.


Record 8
# KVSe2

A relaxed KVSe2 crystal (PBE, Alexandria).

Cell and atoms, written as POSCAR:
```
KVSe2
1.0
3.220 0.000 0.000
0.000 3.220 0.000
0.000 0.000 7.825
K V Se
1 1 2
Direct
0.000 0.000 0.000 K
0.000 0.000 0.500 V
0.500 0.500 0.311 Se
0.500 0.500 0.689 Se
```

Its formation energy without anion corrections is -2.3 eV per formula unit. For the density of states at the Fermi level, the calculation gives 0.42 states/eV/atom.


Record 9
# MnCdOs

A relaxed MnCdOs crystal (PBE, Alexandria).

Cell and atoms, written as POSCAR:
```
MnCdOs
1.0
2.757 0.000 0.000
-1.379 2.388 0.000
0.000 0.000 6.888
Mn Cd Os
1 1 1
Direct
0.000 0.000 0.000 Mn
0.333 0.667 0.651 Cd
0.667 0.333 0.276 Os
```

The relative energy among the computed polymorphs comes out at 67 meV per atom. For the density of states at the Fermi level, the calculation gives 0.88 states/eV/atom. Its energy of formation is 0.361 eV per atom.


Record 10
# K3Cd2Pt4

A relaxed K3Cd2Pt4 crystal (PBE, Alexandria).

Cell and atoms, written as POSCAR:
```
K3Cd2Pt4
1.0
6.077 -2.317 0.000
6.077 2.317 0.000
-2.276 0.000 8.708
K Cd Pt
3 2 4
Direct
0.000 0.000 0.000 K
0.366 0.366 0.633 K
0.634 0.634 0.367 K
0.338 0.338 0.235 Cd
0.662 0.662 0.765 Cd
0.078 0.078 0.626 Pt
0.232 0.232 0.922 Pt
0.768 0.768 0.078 Pt
0.922 0.922 0.374 Pt
```

For the density of states at the Fermi level, the calculation gives 0.29 states/eV/atom. Its energy of formation is -0.228 eV per atom.


Record 11
# Li3Mn2NbN6

A relaxed Li3Mn2NbN6 crystal (PBE, Alexandria).

Cell and atoms, written as POSCAR:
```
Li3Mn2NbN6
1.0
2.534 -4.390 0.000
2.534 4.390 0.000
-1.681 0.000 5.065
Li Mn Nb N
3 2 1 6
Direct
0.000 0.000 0.000 Li
0.331 0.669 0.000 Li
0.669 0.331 0.000 Li
0.167 0.833 0.500 Mn
0.833 0.167 0.500 Mn
0.500 0.500 0.500 Nb
0.078 0.427 0.282 N
0.223 0.223 0.719 N
0.427 0.078 0.282 N
0.573 0.922 0.718 N
0.777 0.777 0.281 N
0.922 0.573 0.718 N
```

Its formation energy without anion corrections is -5.0 eV per formula unit. For the density of states at the Fermi level, the calculation gives 0.18 states/eV/atom.


Record 12
# Ti3ReTc

A relaxed Ti3ReTc crystal (PBE, Alexandria).

Cell and atoms, written as POSCAR:
```
Ti3ReTc
1.0
2.230 -7.871 0.000
2.230 7.871 0.000
0.000 0.000 4.450
Ti Re Tc
6 2 2
Direct
0.060 0.940 0.750 Ti
0.250 0.750 0.750 Ti
0.439 0.561 0.750 Ti
0.561 0.439 0.250 Ti
0.750 0.250 0.250 Ti
0.940 0.060 0.250 Ti
0.149 0.851 0.250 Re
0.851 0.149 0.750 Re
0.351 0.649 0.250 Tc
0.649 0.351 0.750 Tc
```

The relative energy among the computed polymorphs comes out at 0 meV per atom. For the density of states at the Fermi level, the calculation gives 1.05 states/eV/atom. Its energy of formation is -0.376 eV per atom.